Here is an optimized crystal structure of K2RbAs2Pt from the Alexandria database. Energies are from PBE.

The structure in CIF format:
```
data_K2RbAs2Pt
_chemical_formula_sum 'K2 Rb1 As2 Pt1'
_symmetry_space_group_name_H-M 'P 1'
_symmetry_Int_Tables_number 1
_symmetry_space_group_name_Hall 'P 1'
_cell_length_a 7.396
_cell_length_b 7.396
_cell_length_c 7.396
_cell_angle_alpha 128.59
_cell_angle_beta 128.59
_cell_angle_gamma 75.67
loop_
_atom_site_label
_atom_site_type_symbol
_atom_site_fract_x
_atom_site_fract_y
_atom_site_fract_z
K1 K 0.250 0.750 0.500
K2 K 0.750 0.250 0.500
Rb1 Rb 0.000 0.000 0.000
As1 As 0.303 0.303 0.000
As2 As 0.697 0.697 0.000
Pt1 Pt 0.500 0.500 0.000
```

Results
- space-group type = I4/mmm (139)
- formation enthalpy at 0 K (eV per formula unit) = -1.41


Here is an optimized crystal structure of KRbAsPt from the Alexandria database. Energies are from PBE.

The structure in CIF format:
```
data_KRbAsPt
_chemical_formula_sum 'K1 Rb1 As1 Pt1'
_symmetry_space_group_name_H-M 'P 1'
_symmetry_Int_Tables_number 1
_symmetry_space_group_name_Hall 'P 1'
_cell_length_a 6.529
_cell_length_b 6.529
_cell_length_c 6.529
_cell_angle_alpha 139.69
_cell_angle_beta 126.98
_cell_angle_gamma 68.65
loop_
_atom_site_label
_atom_site_type_symbol
_atom_site_fract_x
_atom_site_fract_y
_atom_site_fract_z
K1 K 0.000 0.000 0.000
Rb1 Rb 0.660 0.660 0.000
As1 As 0.310 0.310 0.000
Pt1 Pt 0.379 0.879 0.500
```

Results
- space-group type = Imm2 (44)
- formation enthalpy at 0 K (eV per formula unit) = -1.57


Here is an optimized crystal structure of K2RbAsPt from the Alexandria database. Energies are from PBE.

The structure in CIF format:
```
data_K2RbAsPt
_chemical_formula_sum 'K2 Rb1 As1 Pt1'
_symmetry_space_group_name_H-M 'P 1'
_symmetry_Int_Tables_number 1
_symmetry_space_group_name_Hall 'P 1'
_cell_length_a 6.513
_cell_length_b 6.513
_cell_length_c 4.689
_cell_angle_alpha 90.00
_cell_angle_beta 90.00
_cell_angle_gamma 90.00
loop_
_atom_site_label
_atom_site_type_symbol
_atom_site_fract_x
_atom_site_fract_y
_atom_site_fract_z
K1 K 0.000 0.500 0.000
K2 K 0.500 0.000 0.000
Rb1 Rb 0.000 0.000 0.500
As1 As 0.500 0.500 0.000
Pt1 Pt 0.500 0.500 0.500
```

Results
- space-group type = P4/mmm (123)
- distance to the lowest polymorph of the same formula (meV per atom) = 34
- formation enthalpy at 0 K (eV per formula unit) = -0.87


Here is an optimized crystal structure of K2RbAsPt from the Alexandria database. Energies are from PBE.

The structure in CIF format:
```
data_K2RbAsPt
_chemical_formula_sum 'K2 Rb1 As1 Pt1'
_symmetry_space_group_name_H-M 'P 1'
_symmetry_Int_Tables_number 1
_symmetry_space_group_name_Hall 'P 1'
_cell_length_a 6.418
_cell_length_b 6.418
_cell_length_c 4.726
_cell_angle_alpha 90.00
_cell_angle_beta 90.00
_cell_angle_gamma 90.00
loop_
_atom_site_label
_atom_site_type_symbol
_atom_site_fract_x
_atom_site_fract_y
_atom_site_fract_z
K1 K 0.000 0.500 0.000
K2 K 0.500 0.000 0.000
Rb1 Rb 0.000 0.000 0.500
As1 As 0.500 0.500 0.500
Pt1 Pt 0.500 0.500 0.000
```

Results
- space-group type = P4/mmm (123)
- distance to the lowest polymorph of the same formula (meV per atom) = 0
- formation enthalpy at 0 K (eV per formula unit) = -1.04


Here is an optimized crystal structure of KAs2PtRh from the Alexandria database. Energies are from PBE.

The structure in CIF format:
```
data_KAs2PtRh
_chemical_formula_sum 'K1 As2 Pt1 Rh1'
_symmetry_space_group_name_H-M 'P 1'
_symmetry_Int_Tables_number 1
_symmetry_space_group_name_Hall 'P 1'
_cell_length_a 7.051
_cell_length_b 7.051
_cell_length_c 7.051
_cell_angle_alpha 145.22
_cell_angle_beta 145.22
_cell_angle_gamma 50.00
loop_
_atom_site_label
_atom_site_type_symbol
_atom_site_fract_x
_atom_site_fract_y
_atom_site_fract_z
K1 K 0.000 0.000 0.000
As1 As 0.353 0.353 0.000
As2 As 0.647 0.647 0.000
Pt1 Pt 0.250 0.750 0.500
Rh1 Rh 0.750 0.250 0.500
```

Results
- space-group type = I-4m2 (119)
- formation enthalpy at 0 K (eV per formula unit) = -2.49


Here is an optimized crystal structure of K2As2PtRh from the Alexandria database. Energies are from PBE.

The structure in CIF format:
```
data_K2As2PtRh
_chemical_formula_sum 'K4 As4 Pt2 Rh2'
_symmetry_space_group_name_H-M 'P 1'
_symmetry_Int_Tables_number 1
_symmetry_space_group_name_Hall 'P 1'
_cell_length_a 8.550
_cell_length_b 8.550
_cell_length_c 8.550
_cell_angle_alpha 135.81
_cell_angle_beta 63.65
_cell_angle_gamma 136.61
loop_
_atom_site_label
_atom_site_type_symbol
_atom_site_fract_x
_atom_site_fract_y
_atom_site_fract_z
K1 K 0.173 0.244 0.417
K2 K 0.327 0.744 0.070
K3 K 0.673 0.256 0.930
K4 K 0.827 0.756 0.583
As1 As 0.079 0.742 0.821
As2 As 0.421 0.242 0.663
As3 As 0.579 0.758 0.337
As4 As 0.921 0.258 0.179
Pt1 Pt 0.250 0.250 0.000
Pt2 Pt 0.750 0.750 0.000
Rh1 Rh 0.250 0.750 0.500
Rh2 Rh 0.750 0.250 0.500
```

Results
- space-group type = Ibam (72)
- formation enthalpy at 0 K (eV per formula unit) = -2.48


Here is an optimized crystal structure of KAs2PtSe from the Alexandria database. Energies are from PBE.

The structure in CIF format:
```
data_KAs2PtSe
_chemical_formula_sum 'K1 As2 Pt1 Se1'
_symmetry_space_group_name_H-M 'P 1'
_symmetry_Int_Tables_number 1
_symmetry_space_group_name_Hall 'P 1'
_cell_length_a 5.312
_cell_length_b 5.312
_cell_length_c 5.338
_cell_angle_alpha 90.00
_cell_angle_beta 90.00
_cell_angle_gamma 90.00
loop_
_atom_site_label
_atom_site_type_symbol
_atom_site_fract_x
_atom_site_fract_y
_atom_site_fract_z
K1 K 0.000 0.000 0.000
As1 As 0.000 0.500 0.000
As2 As 0.500 0.000 0.000
Pt1 Pt 0.500 0.500 0.500
Se1 Se 0.000 0.000 0.500
```

Results
- space-group type = P4/mmm (123)
- distance to the lowest polymorph of the same formula (meV per atom) = 1876
- formation energy without anion corrections (kJ/mol of atoms) = 183.1


Here is an optimized crystal structure of KAs2PtSe from the Alexandria database. Energies are from PBE.

The structure in CIF format:
```
data_KAs2PtSe
_chemical_formula_sum 'K1 As2 Pt1 Se1'
_symmetry_space_group_name_H-M 'P 1'
_symmetry_Int_Tables_number 1
_symmetry_space_group_name_Hall 'P 1'
_cell_length_a 4.884
_cell_length_b 4.884
_cell_length_c 5.609
_cell_angle_alpha 90.00
_cell_angle_beta 90.00
_cell_angle_gamma 90.00
loop_
_atom_site_label
_atom_site_type_symbol
_atom_site_fract_x
_atom_site_fract_y
_atom_site_fract_z
K1 K 0.000 0.000 0.000
As1 As 0.000 0.500 0.500
As2 As 0.500 0.000 0.500
Pt1 Pt 0.500 0.500 0.500
Se1 Se 0.500 0.500 0.000
```

Results
- space-group type = P4/mmm (123)
- distance to the lowest polymorph of the same formula (meV per atom) = 0
- formation energy without anion corrections (kJ/mol of atoms) = 2.1


Total moment list, top to bottom, in Bohr magnetons per cell: 0.00, 0.00, 0.24, 0.32, 0.00, 0.00, 0.00, 0.00
DOS at the Fermi energy list, top to bottom, in states/eV per cell: 3.65, 0.97, 3.01, 2.47, 4.98, 7.89, 8.49, 2.56